# PrHo4Tm7 | the Alexandria database | PBE | optimized geometry
data_PrHo4Tm7
_chemical_formula_sum 'Pr1 Ho4 Tm7'
_symmetry_space_group_name_H-M 'P 1'
_symmetry_Int_Tables_number 1
_cell_length_a 7.099
_cell_length_b 9.382
_cell_length_c 8.731
_cell_angle_alpha 81.11
_cell_angle_beta 90.03
_cell_angle_gamma 40.92
loop_
_symmetry_equiv_pos_as_xyz
'x,y,z'
loop_
_atom_site_label
_atom_site_type_symbol
_atom_site_fract_x
_atom_site_fract_y
_atom_site_fract_z
_atom_site_occupancy
Pr1 Pr 0.000 0.000 0.000 1
Ho1 Ho 0.278 0.221 0.334 1
Tm1 Tm 0.222 0.778 0.665 1
Ho2 Ho 0.722 0.779 0.666 1
Ho3 Ho 0.530 0.720 0.336 1
Tm2 Tm 0.500 0.000 0.000 1
Tm3 Tm 0.249 0.500 0.000 1
Tm4 Tm 0.972 0.279 0.665 1
Ho4 Ho 0.470 0.280 0.664 1
Tm5 Tm 0.778 0.222 0.335 1
Tm6 Tm 0.028 0.721 0.335 1
Tm7 Tm 0.751 0.500 0.000 1
# ΔE_f = 0.1 kJ per mole of atoms
# total magnetic moment = 0.000 μB per formula unit
# relative energy among the computed polymorphs = 0 meV/atom

=====

# PmPrTe2 | the Alexandria database | PBE | optimized geometry
data_PmPrTe2
_chemical_formula_sum 'Pm1 Pr1 Te2'
_symmetry_space_group_name_H-M 'P 1'
_symmetry_Int_Tables_number 1
_cell_length_a 4.373
_cell_length_b 4.373
_cell_length_c 8.217
_cell_angle_alpha 74.57
_cell_angle_beta 74.57
_cell_angle_gamma 60.00
loop_
_symmetry_equiv_pos_as_xyz
'x,y,z'
loop_
_atom_site_label
_atom_site_type_symbol
_atom_site_fract_x
_atom_site_fract_y
_atom_site_fract_z
_atom_site_occupancy
Te1 Te 0.252 0.252 0.244 1
Pm1 Pm 0.671 0.671 0.987 1
Pr1 Pr 0.496 0.496 0.513 1
Te2 Te 0.081 0.081 0.757 1
# formation energy without anion corrections = -1433 meV/atom
# total magnetic moment = 0.000 μB per formula unit
# relative energy among the computed polymorphs = 0 meV/atom